No. 1
# MoP2 PBE relaxed
# - energy relative to the elements (eV per atom) = -0.175
# - mass density (Mg/m³) = 6.362
# - electronic total energy (eV for the cell shown) = -44.349
data_MoP2
_chemical_formula_sum 'Mo2 P4'
_space_group_name_H-M_alt 'I 4/m m m'
_space_group_IT_number 139
_space_group_name_Hall '-I 4 2'
_cell_length_a 3.2328
_cell_length_b 3.2328
_cell_length_c 7.8863
_cell_angle_alpha 90.00
_cell_angle_beta 90.00
_cell_angle_gamma 90.00
loop_
_atom_site_label
_atom_site_type_symbol
_atom_site_fract_x
_atom_site_fract_y
_atom_site_fract_z
_atom_site_occupancy
Mo1 Mo 0.0000 0.0000 0.0000 1
P1 P 0.0000 0.0000 0.3303 1

No. 2
# Tm2MgAs PBE relaxed
# - energy relative to the elements (eV per atom) = -0.339
# - mass density (Mg/m³) = 5.917
# - electronic total energy (eV for the cell shown) = -49.629
data_Tm2MgAs
_chemical_formula_sum 'Tm6 Mg3 As3'
_space_group_name_H-M_alt 'R -3 m'
_space_group_IT_number 166
_space_group_name_Hall '-R 3 2"'
_cell_length_a 3.7712
_cell_length_b 3.7712
_cell_length_c 29.8793
_cell_angle_alpha 90.00
_cell_angle_beta 90.00
_cell_angle_gamma 120.00
loop_
_atom_site_label
_atom_site_type_symbol
_atom_site_fract_x
_atom_site_fract_y
_atom_site_fract_z
_atom_site_occupancy
Tm1 Tm 0.0000 0.0000 0.1096 1
Mg1 Mg 0.0000 0.0000 0.0000 1
As1 As 0.0000 0.0000 0.5000 1

Please write out number 1 again, unchanged.
# MoP2 PBE relaxed
# - energy relative to the elements (eV per atom) = -0.175
# - mass density (Mg/m³) = 6.362
# - electronic total energy (eV for the cell shown) = -44.349
data_MoP2
_chemical_formula_sum 'Mo2 P4'
_space_group_name_H-M_alt 'I 4/m m m'
_space_group_IT_number 139
_space_group_name_Hall '-I 4 2'
_cell_length_a 3.2328
_cell_length_b 3.2328
_cell_length_c 7.8863
_cell_angle_alpha 90.00
_cell_angle_beta 90.00
_cell_angle_gamma 90.00
loop_
_atom_site_label
_atom_site_type_symbol
_atom_site_fract_x
_atom_site_fract_y
_atom_site_fract_z
_atom_site_occupancy
Mo1 Mo 0.0000 0.0000 0.0000 1
P1 P 0.0000 0.0000 0.3303 1

Copy entry 1 word for word.
# MoP2 PBE relaxed
# - energy relative to the elements (eV per atom) = -0.175
# - mass density (Mg/m³) = 6.362
# - electronic total energy (eV for the cell shown) = -44.349
data_MoP2
_chemical_formula_sum 'Mo2 P4'
_space_group_name_H-M_alt 'I 4/m m m'
_space_group_IT_number 139
_space_group_name_Hall '-I 4 2'
_cell_length_a 3.2328
_cell_length_b 3.2328
_cell_length_c 7.8863
_cell_angle_alpha 90.00
_cell_angle_beta 90.00
_cell_angle_gamma 90.00
loop_
_atom_site_label
_atom_site_type_symbol
_atom_site_fract_x
_atom_site_fract_y
_atom_site_fract_z
_atom_site_occupancy
Mo1 Mo 0.0000 0.0000 0.0000 1
P1 P 0.0000 0.0000 0.3303 1

Q: Number 2 is which compound?
A: Tm2MgAs